*P*
Mn2In2Tc: relaxed, GGA-PBE.

abc: 7.363 7.363 3.206
angles: 90.00 90.00 90.00
Space group P4/mbm (No. 127)
One atom of each set of equivalent atoms:
Mn (0.162, 0.338, 0.000) x4
In (0.141, 0.641, 0.500) x4
Tc (0.000, 0.000, 0.500) x2

## Properties
The magnetization is 11.47 Bohr magnetons per cell.

---

*Q*
Mn2In2Tc: relaxed, GGA-PBE.

abc: 3.129 3.129 17.185
angles: 90.00 90.00 90.00
Space group I4/mmm (No. 139)
One atom of each set of equivalent atoms:
Mn (0.000, 0.500, 0.250) x4
In (0.000, 0.000, 0.110) x4
Tc (0.000, 0.000, 0.500) x2

## Properties
The magnetization is 4.16 Bohr magnetons per cell.

---

Name the least stable of them. *Q*.